Entry from Alexandria via LeMat-Bulk: a relaxed structure of PrYBr (GGA-PBE).

a b c (Å): 3.686 3.686 14.582
angles (deg): 90.00 90.85 90.00
Atoms (fractional coordinates):
Pr: 0.244 0.250 0.409
Pr: 0.756 0.750 0.591
Y: 0.266 0.250 0.765
Y: 0.734 0.750 0.235
Br: 0.227 0.250 0.124
Br: 0.773 0.750 0.876

Results
Formation energy from raw total energies = -0.737 eV per atom
Density of states at the Fermi level = 4.96 states/eV/cell
Crystal system = monoclinic
Symmetry = P2_1/m

=====

Entry from Alexandria via LeMat-Bulk: a relaxed structure of BaThSb2Au2 (GGA-PBE).

a b c (Å): 4.669 4.669 9.254
angles (deg): 90.00 90.00 120.00
Atoms (fractional coordinates):
Ba: 0.000 0.000 0.000
Th: 0.000 0.000 0.500
Sb: 0.333 0.667 0.749
Sb: 0.667 0.333 0.251
Au: 0.333 0.667 0.321
Au: 0.667 0.333 0.679

Results
Formation energy from raw total energies = -0.819 eV per atom
Density of states at the Fermi level = 3.20 states/eV/cell
Crystal system = trigonal
Symmetry = P-3m1

=====

Entry from Alexandria via LeMat-Bulk: a relaxed structure of KCdMo2 (GGA-PBE).

a b c (Å): 3.254 3.254 8.922
angles (deg): 90.00 90.00 90.00
Atoms (fractional coordinates):
K: 0.000 0.000 0.000
Cd: 0.500 0.500 0.679
Mo: 0.000 0.000 0.460
Mo: 0.500 0.500 0.326

Results
Density of states at the Fermi level = 5.62 states/eV/cell
Energy of formation from the pure elements = 586.8 meV per atom
Crystal system = tetragonal
Symmetry = P4mm

=====

Entry from Alexandria via LeMat-Bulk: a relaxed structure of BaGdAg2 (GGA-PBE).

a b c (Å): 5.555 5.555 3.779
angles (deg): 90.00 90.00 90.00
Atoms (fractional coordinates):
Ba: 0.000 0.000 0.000
Gd: 0.500 0.500 0.000
Ag: 0.000 0.500 0.500
Ag: 0.500 0.000 0.500

Results
Density of states at the Fermi level = 5.57 states/eV/cell
Energy of formation from the pure elements = -165.1 meV per atom
Crystal system = tetragonal
Symmetry = P4/mmm

=====

Entry from Alexandria via LeMat-Bulk: a relaxed structure of LiAc2ZnCd6 (GGA-PBE).

a b c (Å): 7.203 7.198 7.190
angles (deg): 60.09 60.01 59.90
Atoms (fractional coordinates):
Li: 0.000 0.000 0.000
Ac: 0.250 0.250 0.250
Ac: 0.750 0.750 0.750
Zn: 0.500 0.500 0.500
Cd: 0.243 0.243 0.757
Cd: 0.243 0.757 0.243
Cd: 0.243 0.757 0.757
Cd: 0.757 0.243 0.243
Cd: 0.757 0.243 0.757
Cd: 0.757 0.757 0.243

Results
Density of states at the Fermi level = 4.64 states/eV/cell
Energy of formation from the pure elements = -120.0 meV per atom
Crystal system = orthorhombic
Symmetry = Fmmm

=====

Entry from Alexandria via LeMat-Bulk: a relaxed structure of GaW2Se (GGA-PBE).

a b c (Å): 9.647 9.647 9.647
angles (deg): 156.70 156.70 33.18
Atoms (fractional coordinates):
Ga: 0.000 0.000 0.000
Ga: 0.750 0.250 0.500
W: 0.130 0.625 0.005
W: 0.375 0.380 0.505
W: 0.620 0.125 0.995
W: 0.875 0.870 0.495
Se: 0.250 0.750 0.500
Se: 0.500 0.500 0.000

Results
Formation energy from raw total energies = 0.621 eV per atom
Density of states at the Fermi level = 5.04 states/eV/cell
Crystal system = tetragonal
Symmetry = I-42d

=====

Entry from Alexandria via LeMat-Bulk: a relaxed structure of CdBi2H (GGA-PBE).

a b c (Å): 5.091 5.091 5.091
angles (deg): 60.00 60.00 60.00
Atoms (fractional coordinates):
Cd: 0.000 0.000 0.000
Bi: 0.250 0.250 0.250
Bi: 0.750 0.750 0.750
H: 0.500 0.500 0.500

Results
Density of states at the Fermi level = 2.55 states/eV/cell
Crystal system = cubic
Calculated total energy = -2.5251 eV per atom
Symmetry = Fm-3m

=====

Entry from Alexandria via LeMat-Bulk: a relaxed structure of ScCrP2 (GGA-PBE).

a b c (Å): 4.496 4.496 3.182
angles (deg): 97.48 97.48 94.05
Atoms (fractional coordinates):
Sc: 0.000 0.000 0.000
Cr: 0.500 0.500 0.000
P: 0.000 0.500 0.500
P: 0.500 0.000 0.500

Results
Density of states at the Fermi level = 2.27 states/eV/cell
Energy of formation from the pure elements = -448.0 meV per atom
Crystal system = monoclinic
Symmetry = C2/m

=====

Entry from Alexandria via LeMat-Bulk: a relaxed structure of RbNaInAs2 (GGA-PBE).

a b c (Å): 8.326 8.326 12.348
angles (deg): 123.81 123.81 27.05
Atoms (fractional coordinates):
Rb: 0.194 0.194 0.121
Rb: 0.806 0.806 0.879
Na: 0.350 0.350 0.617
Na: 0.650 0.650 0.383
In: 0.037 0.037 0.669
In: 0.963 0.963 0.331
As: 0.151 0.151 0.573
As: 0.440 0.440 0.167
As: 0.560 0.560 0.833
As: 0.849 0.849 0.427

Results
Density of states at the Fermi level = 3.70 states/eV/cell
Energy of formation from the pure elements = -290.5 meV per atom
Crystal system = monoclinic
Symmetry = C2/m

=====

Entry from Alexandria via LeMat-Bulk: a relaxed structure of TcAs2 (GGA-PBE).

a b c (Å): 4.931 4.931 4.702
angles (deg): 90.00 90.00 59.93
Atoms (fractional coordinates):
Tc: 0.197 0.803 0.750
Tc: 0.803 0.197 0.250
As: 0.110 0.583 0.250
As: 0.417 0.890 0.250
As: 0.583 0.110 0.750
As: 0.890 0.417 0.750

Results
Density of states at the Fermi level = 4.22 states/eV/cell
Energy of formation from the pure elements = 126.2 meV per atom
Crystal system = orthorhombic
Symmetry = Cmcm

=====

Entry from Alexandria via LeMat-Bulk: a relaxed structure of ReOs3 (GGA-PBE).

a b c (Å): 3.870 3.870 3.870
angles (deg): 90.00 90.00 90.00
Atoms (fractional coordinates):
Re: 0.000 0.000 0.000
Os: 0.000 0.500 0.500
Os: 0.500 0.000 0.500
Os: 0.500 0.500 0.000

Results
Density of states at the Fermi level = 3.15 states/eV/cell
Energy of formation from the pure elements = 71.8 meV per atom
Crystal system = cubic
Symmetry = Pm-3m

=====

Entry from Alexandria via LeMat-Bulk: a relaxed structure of Bi3WN (GGA-PBE).

a b c (Å): 4.832 4.832 4.832
angles (deg): 90.00 90.00 90.00
Atoms (fractional coordinates):
Bi: 0.000 0.000 0.500
Bi: 0.000 0.500 0.000
Bi: 0.500 0.000 0.000
W: 0.500 0.500 0.500
N: 0.000 0.000 0.000

Results
Formation energy from raw total energies = 1.201 eV per atom
Density of states at the Fermi level = 3.10 states/eV/cell
Crystal system = cubic
Symmetry = Pm-3m

=====

Entry from Alexandria via LeMat-Bulk: a relaxed structure of Tb3SmTe6 (GGA-PBE).

a b c (Å): 12.522 4.385 12.874
angles (deg): 90.00 109.31 90.00
Atoms (fractional coordinates):
Tb: 0.068 0.250 0.166
Tb: 0.183 0.750 0.502
Tb: 0.345 0.250 0.919
Tb: 0.655 0.750 0.081
Tb: 0.817 0.250 0.498
Tb: 0.932 0.750 0.834
Sm: 0.455 0.250 0.305
Sm: 0.545 0.750 0.695
Te: 0.016 0.250 0.382
Te: 0.107 0.250 0.939
Te: 0.246 0.750 0.279
Te: 0.307 0.750 0.750
Te: 0.387 0.250 0.532
Te: 0.415 0.750 0.100
Te: 0.585 0.250 0.900
Te: 0.613 0.750 0.468
Te: 0.693 0.250 0.250
Te: 0.754 0.250 0.721
Te: 0.893 0.750 0.061
Te: 0.984 0.750 0.618

Results
Formation energy from raw total energies = -1.401 eV per atom
Crystal system = monoclinic
Symmetry = P2_1/m